Arrangement a

Below is a relaxed Hf2ZrSi2 crystal, with properties calculated at the PBE-GGA level.

```
Hf2ZrSi2
1.0
-1.8485 1.8485 7.1137
1.8485 -1.8485 7.1137
1.8485 1.8485 -7.1137
Hf Zr Si
2 1 2
Cartesian
0.0000 0.0000 1.5437
0.0000 0.0000 12.6837
0.0000 0.0000 7.1137
1.8485 0.0000 3.5569
0.0000 1.8485 3.5569
```

Computed properties:
**Symmetry**: I4/mmm, No. 139
**Magnetic moment**: 0.07 Bohr magnetons per cell
**Crystal system**: tetragonal



Arrangement b

Below is a relaxed Hf2ZrSi2 crystal, with properties calculated at the PBE-GGA level.

```
Hf2ZrSi2
1.0
7.0729 0.0000 0.0000
0.0000 7.0729 0.0000
0.0000 0.0000 3.6594
Hf Zr Si
4 2 4
Cartesian
1.2269 2.3095 0.0000
2.3095 5.8460 0.0000
4.7634 1.2269 0.0000
5.8460 4.7634 0.0000
0.0000 0.0000 1.8297
3.5365 3.5365 1.8297
0.8697 4.4062 1.8297
2.6667 0.8697 1.8297
4.4062 6.2032 1.8297
6.2032 2.6667 1.8297
```

Computed properties:
**Symmetry**: P4/mbm, No. 127
**Magnetic moment**: 0.00 Bohr magnetons per cell
**Crystal system**: tetragonal



Computed relative energies in units of eV/atom: arrangement a 0.846; arrangement b 0.000



Arrangement a

Below is a relaxed HfZr2Si2 crystal, with properties calculated at the PBE-GGA level.

```
HfZr2Si2
1.0
7.0749 0.0000 0.0000
0.0000 7.0749 0.0000
0.0000 0.0000 3.7033
Hf Zr Si
2 4 4
Cartesian
0.0000 0.0000 0.0000
3.5374 3.5374 0.0000
1.2285 2.3090 1.8516
2.3090 5.8464 1.8516
4.7659 1.2285 1.8516
5.8464 4.7659 1.8516
0.8725 4.4099 0.0000
2.6649 0.8725 0.0000
4.4099 6.2024 0.0000
6.2024 2.6649 0.0000
```

Computed properties:
**Symmetry**: P4/mbm, No. 127
**Magnetic moment**: 0.02 Bohr magnetons per cell
**Crystal system**: tetragonal



Arrangement b

Below is a relaxed HfZr2Si2 crystal, with properties calculated at the PBE-GGA level.

```
HfZr2Si2
1.0
-2.0168 2.0168 5.9441
2.0168 -2.0168 5.9441
2.0168 2.0168 -5.9441
Hf Zr Si
1 2 2
Cartesian
0.0000 0.0000 0.0000
2.0168 0.0000 2.9721
0.0000 2.0168 2.9721
0.0000 0.0000 4.8141
0.0000 0.0000 7.0741
```

Computed properties:
**Symmetry**: I4/mmm, No. 139
**Magnetic moment**: 0.01 Bohr magnetons per cell
**Crystal system**: tetragonal



Computed relative energies in units of eV/atom: arrangement a 0.000; arrangement b 0.408



Arrangement a

Below is a relaxed Sm2Hf crystal, with properties calculated at the PBE-GGA level.

```
Sm2Hf
1.0
0.0000 6.1571 6.1571
6.1571 0.0000 6.1571
6.1571 6.1571 0.0000
Sm Hf
4 2
Cartesian
0.0000 0.0000 0.0000
3.0785 3.0785 0.0000
3.0785 0.0000 3.0785
0.0000 3.0785 3.0785
1.5393 1.5393 1.5393
10.7749 10.7749 10.7749
```

Computed properties:
**Symmetry**: Fd-3m, No. 227
**Magnetic moment**: 0.02 Bohr magnetons per cell
**Crystal system**: cubic



Arrangement b

Below is a relaxed Sm2Hf crystal, with properties calculated at the PBE-GGA level.

```
Sm2Hf
1.0
0.0000 4.4363 4.4363
4.4363 0.0000 4.4363
4.4363 4.4363 0.0000
Sm Hf
4 2
Cartesian
0.0000 0.0000 0.0000
2.2182 2.2182 0.0000
2.2182 0.0000 2.2182
0.0000 2.2182 2.2182
3.3272 3.3272 3.3272
5.5454 5.5454 5.5454
```

Computed properties:
**Symmetry**: Fd-3m, No. 227
**Magnetic moment**: 0.57 Bohr magnetons per cell
**Crystal system**: cubic



Computed relative energies in units of eV/atom: arrangement a 1.685; arrangement b 0.000



Arrangement a

Below is a relaxed SmHfTa crystal, with properties calculated at the PBE-GGA level.

```
SmHfTa
1.0
0.0000 3.3937 3.3937
3.3937 0.0000 3.3937
3.3937 3.3937 0.0000
Sm Hf Ta
1 1 1
Cartesian
0.0000 0.0000 0.0000
5.0906 5.0906 5.0906
1.6969 1.6969 1.6969
```

Computed properties:
**Symmetry**: F-43m, No. 216
**Magnetic moment**: 0.01 Bohr magnetons per cell
**Crystal system**: cubic



Arrangement b

Below is a relaxed SmHfTa crystal, with properties calculated at the PBE-GGA level.

```
SmHfTa
1.0
0.0000 3.4101 3.4101
3.4101 0.0000 3.4101
3.4101 3.4101 0.0000
Sm Hf Ta
1 1 1
Cartesian
0.0000 0.0000 0.0000
1.7050 1.7050 1.7050
3.4101 3.4101 3.4101
```

Computed properties:
**Symmetry**: F-43m, No. 216
**Magnetic moment**: 0.05 Bohr magnetons per cell
**Crystal system**: cubic



Computed relative energies in units of eV/atom: arrangement a 0.374; arrangement b 0.000



Arrangement a

Below is a relaxed SmHfTe crystal, with properties calculated at the PBE-GGA level.

```
SmHfTe
1.0
0.0000 3.6791 3.6791
3.6791 0.0000 3.6791
3.6791 3.6791 0.0000
Sm Hf Te
1 1 1
Cartesian
0.0000 0.0000 0.0000
5.5187 5.5187 5.5187
1.8396 1.8396 1.8396
```

Computed properties:
**Symmetry**: F-43m, No. 216
**Magnetic moment**: 2.69 Bohr magnetons per cell
**Crystal system**: cubic



Arrangement b

Below is a relaxed SmHfTe crystal, with properties calculated at the PBE-GGA level.

```
SmHfTe
1.0
0.0000 3.4918 3.4918
3.4918 0.0000 3.4918
3.4918 3.4918 0.0000
Sm Hf Te
1 1 1
Cartesian
0.0000 0.0000 0.0000
3.4918 3.4918 3.4918
5.2377 5.2377 5.2377
```

Computed properties:
**Symmetry**: F-43m, No. 216
**Magnetic moment**: 0.00 Bohr magnetons per cell
**Crystal system**: cubic



Computed relative energies in units of eV/atom: arrangement a 0.622; arrangement b 0.000



Arrangement a

Below is a relaxed SmHfTl crystal, with properties calculated at the PBE-GGA level.

```
SmHfTl
1.0
0.0000 3.6110 3.6110
3.6110 0.0000 3.6110
3.6110 3.6110 0.0000
Sm Hf Tl
1 1 1
Cartesian
0.0000 0.0000 0.0000
5.4165 5.4165 5.4165
1.8055 1.8055 1.8055
```

Computed properties:
**Symmetry**: F-43m, No. 216
**Magnetic moment**: 1.04 Bohr magnetons per cell
**Crystal system**: cubic



Arrangement b

Below is a relaxed SmHfTl crystal, with properties calculated at the PBE-GGA level.

```
SmHfTl
1.0
0.0000 3.5437 3.5437
3.5437 0.0000 3.5437
3.5437 3.5437 0.0000
Sm Hf Tl
1 1 1
Cartesian
0.0000 0.0000 0.0000
3.5437 3.5437 3.5437
5.3156 5.3156 5.3156
```

Computed properties:
**Symmetry**: F-43m, No. 216
**Magnetic moment**: 0.59 Bohr magnetons per cell
**Crystal system**: cubic



Computed relative energies in units of eV/atom: arrangement a 0.508; arrangement b 0.000



Arrangement a

Below is a relaxed SmHfZn crystal, with properties calculated at the PBE-GGA level.

```
SmHfZn
1.0
0.0000 3.3633 3.3633
3.3633 0.0000 3.3633
3.3633 3.3633 0.0000
Sm Hf Zn
1 1 1
Cartesian
0.0000 0.0000 0.0000
3.3633 3.3633 3.3633
5.0450 5.0450 5.0450
```

Computed properties:
**Symmetry**: F-43m, No. 216
**Magnetic moment**: 0.62 Bohr magnetons per cell
**Crystal system**: cubic



Arrangement b

Below is a relaxed SmHfZn crystal, with properties calculated at the PBE-GGA level.

```
SmHfZn
1.0
0.0000 3.4448 3.4448
3.4448 0.0000 3.4448
3.4448 3.4448 0.0000
Sm Hf Zn
1 1 1
Cartesian
0.0000 0.0000 0.0000
5.1672 5.1672 5.1672
1.7224 1.7224 1.7224
```

Computed properties:
**Symmetry**: F-43m, No. 216
**Magnetic moment**: 0.72 Bohr magnetons per cell
**Crystal system**: cubic



Computed relative energies in units of eV/atom: arrangement a 0.000; arrangement b 0.676



Arrangement a

Below is a relaxed Hf3Sn7 crystal, with properties calculated at the PBE-GGA level.

```
Hf3Sn7
1.0
2.1556 -12.9667 0.0000
2.1556 12.9667 0.0000
0.0000 0.0000 4.2264
Hf Sn
3 7
Cartesian
0.0000 0.0000 0.0000
2.1556 8.0063 0.0000
2.1556 -8.0063 0.0000
2.1556 10.4076 2.1132
2.1556 5.4195 2.1132
2.1556 2.5811 0.0000
2.1556 0.0000 2.1132
2.1556 -2.5811 0.0000
2.1556 -5.4195 2.1132
2.1556 -10.4076 2.1132
```

Computed properties:
**Symmetry**: Cmmm, No. 65
**Magnetic moment**: 0.01 Bohr magnetons per cell
**Crystal system**: orthorhombic



Arrangement b

Below is a relaxed Hf3Sn7 crystal, with properties calculated at the PBE-GGA level.

```
Hf3Sn7
1.0
2.1807 -12.6027 0.0000
2.1807 12.6027 0.0000
0.0000 0.0000 4.2498
Hf Sn
3 7
Cartesian
0.0000 0.0000 0.0000
2.1807 4.7974 2.1249
2.1807 -4.7974 2.1249
2.1807 10.1187 2.1249
2.1807 7.3601 0.0000
2.1807 2.4924 0.0000
2.1807 0.0000 2.1249
2.1807 -2.4924 0.0000
2.1807 -7.3601 0.0000
2.1807 -10.1187 2.1249
```

Computed properties:
**Symmetry**: Cmmm, No. 65
**Magnetic moment**: 0.00 Bohr magnetons per cell
**Crystal system**: orthorhombic



Computed relative energies in units of eV/atom: arrangement a 0.070; arrangement b 0.000



Arrangement a

Below is a relaxed SrHfSn crystal, with properties calculated at the PBE-GGA level.

```
SrHfSn
1.0
0.0000 3.6308 3.6308
3.6308 0.0000 3.6308
3.6308 3.6308 0.0000
Sr Hf Sn
1 1 1
Cartesian
0.0000 0.0000 0.0000
3.6308 3.6308 3.6308
5.4462 5.4462 5.4462
```

Computed properties:
**Symmetry**: F-43m, No. 216
**Magnetic moment**: 0.99 Bohr magnetons per cell
**Crystal system**: cubic



Arrangement b

Below is a relaxed SrHfSn crystal, with properties calculated at the PBE-GGA level.

```
SrHfSn
1.0
0.0000 3.7073 3.7073
3.7073 0.0000 3.7073
3.7073 3.7073 0.0000
Sr Hf Sn
1 1 1
Cartesian
0.0000 0.0000 0.0000
5.5610 5.5610 5.5610
1.8536 1.8536 1.8536
```

Computed properties:
**Symmetry**: F-43m, No. 216
**Magnetic moment**: 0.11 Bohr magnetons per cell
**Crystal system**: cubic



Computed relative energies in units of eV/atom: arrangement a 0.000; arrangement b 0.739



Arrangement a

Below is a relaxed HfTcSn crystal, with properties calculated at the PBE-GGA level.

```
HfTcSn
1.0
0.0000 3.1969 3.1969
3.1969 0.0000 3.1969
3.1969 3.1969 0.0000
Hf Tc Sn
1 1 1
Cartesian
0.0000 0.0000 0.0000
1.5984 1.5984 1.5984
3.1969 3.1969 3.1969
```

Computed properties:
**Symmetry**: F-43m, No. 216
**Magnetic moment**: 0.00 Bohr magnetons per cell
**Crystal system**: cubic



Arrangement b

Below is a relaxed HfTcSn crystal, with properties calculated at the PBE-GGA level.

```
HfTcSn
1.0
0.0000 3.2470 3.2470
3.2470 0.0000 3.2470
3.2470 3.2470 0.0000
Hf Tc Sn
1 1 1
Cartesian
0.0000 0.0000 0.0000
1.6235 1.6235 1.6235
4.8704 4.8704 4.8704
```

Computed properties:
**Symmetry**: F-43m, No. 216
**Magnetic moment**: 0.00 Bohr magnetons per cell
**Crystal system**: cubic



Computed relative energies in units of eV/atom: arrangement a 0.000; arrangement b 0.530



Arrangement a

Below is a relaxed HfTlSn crystal, with properties calculated at the PBE-GGA level.

```
HfTlSn
1.0
0.0000 3.4776 3.4776
3.4776 0.0000 3.4776
3.4776 3.4776 0.0000
Hf Tl Sn
1 1 1
Cartesian
0.0000 0.0000 0.0000
1.7388 1.7388 1.7388
5.2164 5.2164 5.2164
```

Computed properties:
**Symmetry**: F-43m, No. 216
**Magnetic moment**: 0.00 Bohr magnetons per cell
**Crystal system**: cubic



Arrangement b

Below is a relaxed HfTlSn crystal, with properties calculated at the PBE-GGA level.

```
HfTlSn
1.0
0.0000 3.5066 3.5066
3.5066 0.0000 3.5066
3.5066 3.5066 0.0000
Hf Tl Sn
1 1 1
Cartesian
0.0000 0.0000 0.0000
3.5066 3.5066 3.5066
1.7533 1.7533 1.7533
```

Computed properties:
**Symmetry**: F-43m, No. 216
**Magnetic moment**: 0.08 Bohr magnetons per cell
**Crystal system**: cubic



Computed relative energies in units of eV/atom: arrangement a 0.000; arrangement b 0.258



Arrangement a

Below is a relaxed SrHf crystal, with properties calculated at the PBE-GGA level.

```
SrHf
1.0
0.0000 3.3141 3.3141
3.3141 0.0000 3.3141
3.3141 3.3141 0.0000
Sr Hf
1 1
Cartesian
0.0000 0.0000 0.0000
3.3141 3.3141 3.3141
```

Computed properties:
**Symmetry**: Fm-3m, No. 225
**Magnetic moment**: 1.75 Bohr magnetons per cell
**Crystal system**: cubic



Arrangement b

Below is a relaxed SrHf crystal, with properties calculated at the PBE-GGA level.

```
SrHf
1.0
0.0000 3.5125 3.5125
3.5125 0.0000 3.5125
3.5125 3.5125 0.0000
Sr Hf
1 1
Cartesian
0.0000 0.0000 0.0000
1.7562 1.7562 1.7562
```

Computed properties:
**Symmetry**: F-43m, No. 216
**Magnetic moment**: 0.42 Bohr magnetons per cell
**Crystal system**: cubic



Computed relative energies in units of eV/atom: arrangement a 0.000; arrangement b 1.004



Arrangement a

Below is a relaxed SrHfTc crystal, with properties calculated at the PBE-GGA level.

```
SrHfTc
1.0
0.0000 3.3608 3.3608
3.3608 0.0000 3.3608
3.3608 3.3608 0.0000
Sr Hf Tc
1 1 1
Cartesian
0.0000 0.0000 0.0000
3.3608 3.3608 3.3608
5.0412 5.0412 5.0412
```

Computed properties:
**Symmetry**: F-43m, No. 216
**Magnetic moment**: 0.00 Bohr magnetons per cell
**Crystal system**: cubic



Arrangement b

Below is a relaxed SrHfTc crystal, with properties calculated at the PBE-GGA level.

```
SrHfTc
1.0
0.0000 3.3691 3.3691
3.3691 0.0000 3.3691
3.3691 3.3691 0.0000
Sr Hf Tc
1 1 1
Cartesian
0.0000 0.0000 0.0000
5.0536 5.0536 5.0536
1.6845 1.6845 1.6845
```

Computed properties:
**Symmetry**: F-43m, No. 216
**Magnetic moment**: 0.76 Bohr magnetons per cell
**Crystal system**: cubic



Computed relative energies in units of eV/atom: arrangement a 0.000; arrangement b 1.249



Arrangement a

Below is a relaxed SrHfZn crystal, with properties calculated at the PBE-GGA level.

```
SrHfZn
1.0
3.4837 0.0000 0.0000
0.0000 3.4837 0.0000
0.0000 0.0000 12.8280
Sr Hf Zn
2 2 2
Cartesian
0.0000 0.0000 2.1664
0.0000 0.0000 10.6616
1.7418 1.7418 4.9202
1.7418 1.7418 7.9077
0.0000 0.0000 6.4140
1.7418 1.7418 0.0000
```

Computed properties:
**Symmetry**: P4/mmm, No. 123
**Magnetic moment**: 0.33 Bohr magnetons per cell
**Crystal system**: tetragonal



Arrangement b

Below is a relaxed SrHfZn crystal, with properties calculated at the PBE-GGA level.

```
SrHfZn
1.0
5.4972 0.0000 0.0000
-2.7486 4.7608 0.0000
0.0000 0.0000 2.9790
Sr Hf Zn
1 1 1
Cartesian
0.0000 0.0000 0.0000
2.7486 1.5869 0.0000
0.0000 3.1738 0.0000
```

Computed properties:
**Symmetry**: P-6m2, No. 187
**Magnetic moment**: 0.01 Bohr magnetons per cell
**Crystal system**: hexagonal



Arrangement c

Below is a relaxed SrHfZn crystal, with properties calculated at the PBE-GGA level.

```
SrHfZn
1.0
0.0000 3.5575 3.5575
3.5575 0.0000 3.5575
3.5575 3.5575 0.0000
Sr Hf Zn
1 1 1
Cartesian
0.0000 0.0000 0.0000
5.3362 5.3362 5.3362
1.7787 1.7787 1.7787
```

Computed properties:
**Symmetry**: F-43m, No. 216
**Magnetic moment**: 0.04 Bohr magnetons per cell
**Crystal system**: cubic



Computed relative energies in units of eV/atom: arrangement a 0.000; arrangement b 0.617; arrangement c 1.151